First-principles (GGA-PBE) data for a relaxed structure of Zr2CoMo, as listed in Alexandria.

Summary:
- Density of states at the Fermi level: 3.5 states/eV/f.u.
- ΔH_f (0 K): -12 meV/atom
- Space-group type: Imm2, No. 44
- DFT total energy: -35.08 eV per cell

The structure in POSCAR format:
```
Zr2CoMo
1.0
-1.619 2.280 4.826
1.619 -2.280 4.826
1.619 2.280 -4.826
Zr Co Mo
2 1 1
Cartesian
0.000 0.000 0.000
0.000 2.280 2.205
0.000 0.000 4.602
1.619 0.000 2.522
```